CeNi5Pt7: relaxed, PBE.

Output
E_tot = -6.2659 eV/atom
ΔH_f (0 K) = -0.333 eV/atom
SG = Imm2, No. 44

abc: 5.0464 6.6955 6.6955
angles: 81.39 67.86 67.86
Last column: nearest neighbours and their distance in Å.
Element x y z (fractional)
1 Pt 0.9974 0.3449 0.6604  5 Ni 2.63-2.73, 4 Pt 2.75-2.81
2 Pt 0.5035 0.2066 0.7865  5 Ni 2.53-2.71, 3 Pt 2.72-2.78
3 Pt 0.9974 0.6604 0.3449  5 Ni 2.63-2.73, 4 Pt 2.75-2.81
4 Pt 0.5035 0.7865 0.2066  5 Ni 2.53-2.71, 3 Pt 2.72-2.78
5 Pt 0.3374 0.6626 0.6626  6 Ni 2.61-2.70, 1 Pt 2.80
6 Pt 0.2758 0.2242 0.2242  4 Ni 2.57, 6 Pt 2.72-2.81
7 Pt 0.6549 0.3451 0.3451  4 Ni 2.69, 5 Pt 2.74-2.86
8 Ni 0.9988 0.5042 0.9954  3 Ni 2.49-2.54, 7 Pt 2.53-2.70
9 Ni 0.5016 0.9954 0.5042  3 Ni 2.49-2.54, 7 Pt 2.53-2.70
10 Ni 0.9988 0.9954 0.5042  3 Ni 2.49-2.54, 7 Pt 2.53-2.70
11 Ni 0.7297 0.7703 0.7703  4 Ni 2.49, 6 Pt 2.70-2.73
12 Ni 0.5016 0.5042 0.9954  3 Ni 2.49-2.54, 7 Pt 2.53-2.70
13 Ce 0.9997 0.0003 0.0003  10 Pt 2.98-3.20, 6 Ni 3.24-3.33

***

Cs4Au: relaxed, PBE.

Output
E_tot = -1.4588 eV/atom
ΔH_f (0 K) = -0.120 eV/atom
SG = C2/c, No. 15
E above lowest polymorph = 23 meV/atom

abc: 9.3114 8.3346 14.2122
angles: 98.71 70.88 56.04
Last column: nearest neighbours and their distance in Å.
Element x y z (fractional)
1 Cs 0.8857 0.3538 0.9571  2 Au 3.70-3.90
2 Cs 0.4510 0.5927 0.6949  1 Au 3.71
3 Cs 0.5490 0.4073 0.3051  1 Au 3.71
4 Cs 0.1143 0.6462 0.0429  2 Au 3.70-3.90
5 Cs 0.8034 0.8538 0.4571  2 Au 3.70-3.90
6 Cs 0.2614 0.0927 0.1949  1 Au 3.71
7 Cs 0.1966 0.1462 0.5429  2 Au 3.70-3.90
8 Cs 0.7386 0.9073 0.8051  1 Au 3.71
9 Au 0.6713 0.7500 0.2500  6 Cs 3.70-3.90
10 Au 0.3287 0.2500 0.7500  6 Cs 3.70-3.90

***

Among the records above, which one has the highest E_tot? Cs4Au